Record 1
# Ac6IrPdRu2, relaxed, DFT PBE-GGA
# Space group   R3, No. 146
# ΔE_f   -0.381 eV per atom
# VASP energy   -61.07 eV per cell
data_Ac6IrPdRu2
_cell_length_a 7.4913
_cell_length_b 7.4926
_cell_length_c 8.0637
_cell_angle_alpha 62.34
_cell_angle_beta 62.35
_cell_angle_gamma 60.04
_space_group_name_H-M_alt 'P 1'
_space_group_IT_number 1
loop_
_space_group_symop_operation_xyz
'x,y,z'
loop_
_atom_site_label
_atom_site_type_symbol
_atom_site_fract_x
_atom_site_fract_y
_atom_site_fract_z
Pd1 Pd 0.8352 0.8350 0.4946
Ru1 Ru 0.9936 0.9940 0.0185
Ru2 Ru 0.4979 0.4972 0.5075
Ac1 Ac 0.2600 0.9140 0.2454
Ac2 Ac 0.4009 0.7512 0.7542
Ac3 Ac 0.7512 0.0939 0.7542
Ac4 Ac 0.0935 0.4008 0.7544
Ac5 Ac 0.5807 0.2599 0.2455
Ac6 Ac 0.9138 0.5807 0.2453
Ir1 Ir 0.3347 0.3349 0.9956


Record 2
# Ac6IrPd2Ru, relaxed, DFT PBE-GGA
# Space group   R3, No. 146
# ΔE_f   -0.515 eV per atom
# VASP energy   -58.32 eV per cell
data_Ac6IrPd2Ru
_cell_length_a 7.5592
_cell_length_b 7.5574
_cell_length_c 8.2388
_cell_angle_alpha 62.66
_cell_angle_beta 62.67
_cell_angle_gamma 59.98
_space_group_name_H-M_alt 'P 1'
_space_group_IT_number 1
loop_
_space_group_symop_operation_xyz
'x,y,z'
loop_
_atom_site_label
_atom_site_type_symbol
_atom_site_fract_x
_atom_site_fract_y
_atom_site_fract_z
Ru1 Ru 0.3287 0.3288 0.0138
Ac1 Ac 0.9324 0.5844 0.2527
Ac2 Ac 0.2308 0.9324 0.2523
Ac3 Ac 0.5843 0.2307 0.2525
Ac4 Ac 0.0857 0.4309 0.7563
Ac5 Ac 0.7275 0.0858 0.7559
Ac6 Ac 0.4310 0.7274 0.7558
Ir1 Ir 0.8293 0.8291 0.5124
Pd1 Pd 0.0066 0.0066 0.9800
Pd2 Pd 0.5054 0.5055 0.4836


Record 3
# AcIr3Pd2S8, relaxed, DFT PBE-GGA
# Space group   R3m, No. 160
# VASP energy   -81.05 eV per cell
data_AcIr3Pd2S8
_cell_length_a 7.3636
_cell_length_b 7.3636
_cell_length_c 7.5261
_cell_angle_alpha 60.71
_cell_angle_beta 60.71
_cell_angle_gamma 60.00
_space_group_name_H-M_alt 'P 1'
_space_group_IT_number 1
loop_
_space_group_symop_operation_xyz
'x,y,z'
loop_
_atom_site_label
_atom_site_type_symbol
_atom_site_fract_x
_atom_site_fract_y
_atom_site_fract_z
Pd1 Pd 0.1050 0.1050 0.6849
Pd2 Pd 0.4975 0.4975 0.5074
S1 S 0.3261 0.7322 0.2096
S2 S 0.2711 0.2711 0.1866
S3 S 0.2609 0.7014 0.7768
S4 S 0.7322 0.3261 0.2096
S5 S 0.7258 0.7258 0.8226
S6 S 0.2609 0.2609 0.7768
S7 S 0.7014 0.2609 0.7768
S8 S 0.7322 0.7322 0.2096
Ir1 Ir 0.4996 0.4996 0.9943
Ir2 Ir 0.0065 0.4996 0.9943
Ir3 Ir 0.4996 0.0065 0.9943
Ac1 Ac 0.8739 0.8739 0.3784


Record 4
# Ac6Ir2PdS3, relaxed, DFT PBE-GGA
# Space group   C2/m, No. 12
# VASP energy   -75.80 eV per cell
data_Ac6Ir2PdS3
_cell_length_a 4.2852
_cell_length_b 9.0279
_cell_length_c 9.9709
_cell_angle_alpha 106.97
_cell_angle_beta 102.41
_cell_angle_gamma 90.00
_space_group_name_H-M_alt 'P 1'
_space_group_IT_number 1
loop_
_space_group_symop_operation_xyz
'x,y,z'
loop_
_atom_site_label
_atom_site_type_symbol
_atom_site_fract_x
_atom_site_fract_y
_atom_site_fract_z
Ac1 Ac 0.9949 0.7498 0.9899
Ac2 Ac 0.6718 0.5715 0.3436
Ac3 Ac 0.3282 0.4285 0.6564
Ac4 Ac 0.6668 0.0962 0.3335
Ac5 Ac 0.0051 0.2502 0.0101
Ac6 Ac 0.3332 0.9038 0.6665
Ir1 Ir 0.1649 0.3295 0.3299
Ir2 Ir 0.8351 0.6705 0.6701
S1 S 0.5000 0.5000 0.0000
S2 S 0.8342 0.1676 0.6685
S3 S 0.1658 0.8324 0.3315
Pd1 Pd 0.5000 0.0000 0.0000


Record 5
# Ac2Sb3IrPd4, relaxed, DFT PBE-GGA
# Space group   P-4m2, No. 115
# VASP energy   -57.15 eV per cell
data_Ac2Sb3IrPd4
_cell_length_a 4.5195
_cell_length_b 4.5195
_cell_length_c 11.2205
_cell_angle_alpha 90.00
_cell_angle_beta 90.00
_cell_angle_gamma 90.00
_space_group_name_H-M_alt 'P 1'
_space_group_IT_number 1
loop_
_space_group_symop_operation_xyz
'x,y,z'
loop_
_atom_site_label
_atom_site_type_symbol
_atom_site_fract_x
_atom_site_fract_y
_atom_site_fract_z
Sb1 Sb 0.0000 0.0000 0.5000
Sb2 Sb 0.0000 0.5000 0.1277
Sb3 Sb 0.5000 0.0000 0.8723
Ac1 Ac 0.5000 0.0000 0.2636
Ac2 Ac 0.0000 0.5000 0.7364
Pd1 Pd 0.5000 0.0000 0.6386
Pd2 Pd 0.0000 0.5000 0.3614
Pd3 Pd 0.0000 0.0000 0.0000
Pd4 Pd 0.5000 0.5000 0.0000
Ir1 Ir 0.5000 0.5000 0.5000


Record 6
# Ac2Sb4Ir3Pd, relaxed, DFT PBE-GGA
# Space group   P-4m2, No. 115
# VASP energy   -63.71 eV per cell
data_Ac2Sb4Ir3Pd
_cell_length_a 4.7126
_cell_length_b 4.7126
_cell_length_c 10.4614
_cell_angle_alpha 90.00
_cell_angle_beta 90.00
_cell_angle_gamma 90.00
_space_group_name_H-M_alt 'P 1'
_space_group_IT_number 1
loop_
_space_group_symop_operation_xyz
'x,y,z'
loop_
_atom_site_label
_atom_site_type_symbol
_atom_site_fract_x
_atom_site_fract_y
_atom_site_fract_z
Sb1 Sb 0.0000 0.5000 0.3701
Sb2 Sb 0.5000 0.5000 0.0000
Sb3 Sb 0.5000 0.0000 0.6299
Sb4 Sb 0.0000 0.0000 0.0000
Ac1 Ac 0.5000 0.0000 0.2552
Ac2 Ac 0.0000 0.5000 0.7448
Pd1 Pd 0.5000 0.5000 0.5000
Ir1 Ir 0.0000 0.0000 0.5000
Ir2 Ir 0.0000 0.5000 0.1182
Ir3 Ir 0.5000 0.0000 0.8818